Record 1
Density functional theory data (meta-GGA SCAN) for a crystal of Ag2Hg relaxed with PBEsol.

Computed properties:
**Calculated volume**: 54 Å³/f.u.
**Energy relative to the elements**: 32 meV per atom
**Energy above the most stable polymorph in this dataset**: 0 meV/atom

```
data_Ag2Hg
_cell_length_a 5.8581
_cell_length_b 4.2095
_cell_length_c 8.7029
_cell_angle_alpha 90.00
_cell_angle_beta 90.00
_cell_angle_gamma 90.00
_symmetry_space_group_name_H-M 'P n m a'
_symmetry_Int_Tables_number 62
_symmetry_space_group_name_Hall '-P 2ac 2n'
loop_
_atom_site_label
_atom_site_fract_x
_atom_site_fract_y
_atom_site_fract_z
_atom_site_occupancy
Ag1 0.1176 0.2500 0.2484 1
Ag2 0.1262 0.2500 0.5813 1
Hg1 0.1368 0.2500 0.9119 1
```

Record 2
Density functional theory data (meta-GGA SCAN) for a crystal of NiIr2Rh relaxed with PBEsol.

Computed properties:
**Calculated volume**: 53 Å³/f.u.
**Energy relative to the elements**: -14 meV per atom

```
data_NiIr2Rh
_cell_length_a 8.7286
_cell_length_b 2.6768
_cell_length_c 4.5763
_cell_angle_alpha 90.00
_cell_angle_beta 100.68
_cell_angle_gamma 90.00
_symmetry_space_group_name_H-M 'C 1 2/m 1'
_symmetry_Int_Tables_number 12
_symmetry_space_group_name_Hall '-C 2y'
loop_
_atom_site_label
_atom_site_fract_x
_atom_site_fract_y
_atom_site_fract_z
_atom_site_occupancy
Ni1 0.0000 0.0000 0.0000 1
Ir1 0.2467 0.5000 0.2447 1
Rh1 0.0000 0.5000 0.5000 1
```

Record 3
Density functional theory data (meta-GGA SCAN) for a crystal of LaTaAu2 relaxed with PBEsol.

Computed properties:
**Calculated volume**: 85 Å³/f.u.
**Energy relative to the elements**: -116 meV per atom

```
data_LaTaAu2
_cell_length_a 6.9863
_cell_length_b 6.9863
_cell_length_c 6.9863
_cell_angle_alpha 90.00
_cell_angle_beta 90.00
_cell_angle_gamma 90.00
_symmetry_space_group_name_H-M 'F m -3 m'
_symmetry_Int_Tables_number 225
_symmetry_space_group_name_Hall '-F 4 2 3'
loop_
_atom_site_label
_atom_site_fract_x
_atom_site_fract_y
_atom_site_fract_z
_atom_site_occupancy
La1 0.0000 0.0000 0.0000 1
Ta1 0.0000 0.0000 0.5000 1
Au1 0.2500 0.2500 0.2500 1
```

Record 4
Density functional theory data (meta-GGA SCAN) for a crystal of BeCdPtN2 relaxed with PBEsol.

Computed properties:
**Calculated volume**: 83 Å³/f.u.
**Formation energy without anion corrections**: 1.293 eV per atom

```
data_BeCdPtN2
_cell_length_a 3.6969
_cell_length_b 3.6969
_cell_length_c 6.0701
_cell_angle_alpha 90.00
_cell_angle_beta 90.00
_cell_angle_gamma 90.00
_symmetry_space_group_name_H-M 'P 4/m m m'
_symmetry_Int_Tables_number 123
_symmetry_space_group_name_Hall '-P 4 2'
loop_
_atom_site_label
_atom_site_fract_x
_atom_site_fract_y
_atom_site_fract_z
_atom_site_occupancy
Be1 0.0000 0.0000 0.0000 1
Cd1 0.5000 0.5000 0.0000 1
Pt1 0.5000 0.5000 0.5000 1
N1 0.0000 0.5000 0.5000 1
```

- Among the records above, which one has the highest calculated volume?
  LaTaAu2